Material: Ba3Zr2InO9
Method: DFT, GGA-PBE
State: optimized geometry

Cell and atoms, written as POSCAR:
```
Ba3Zr2InO9
1.0
6.043 0.000 0.000
-3.021 5.233 0.000
0.000 0.000 7.415
Ba Zr In O
3 2 1 9
direct
0.000 0.000 0.000
0.333 0.667 0.662
0.667 0.333 0.338
0.333 0.667 0.168
0.667 0.333 0.832
0.000 0.000 0.500
0.000 0.500 0.000
0.169 0.339 0.329
0.169 0.831 0.329
0.339 0.169 0.671
0.500 0.000 0.000
0.500 0.500 0.000
0.661 0.831 0.329
0.831 0.169 0.671
0.831 0.661 0.671
```

Summary:
Total energy ... -7.42 eV per atom
Formation energy from raw total energies ... -2.7356 eV per atom
Space-group type ... P-3m1 (164)

=====

Material: Ba3ZrIn2O8
Method: DFT, GGA-PBE
State: optimized geometry

Cell and atoms, written as POSCAR:
```
Ba3ZrIn2O8
1.0
6.082 0.000 0.000
-3.041 5.267 0.000
0.000 0.000 7.801
Ba Zr In O
3 1 2 8
direct
0.000 0.000 0.000
0.333 0.667 0.638
0.667 0.333 0.362
0.000 0.000 0.500
0.333 0.667 0.204
0.667 0.333 0.796
0.160 0.321 0.336
0.160 0.840 0.336
0.321 0.160 0.664
0.333 0.667 0.950
0.667 0.333 0.050
0.679 0.840 0.336
0.840 0.160 0.664
0.840 0.679 0.664
```

Summary:
Total energy ... -6.60 eV per atom
Formation energy from raw total energies ... -2.3556 eV per atom
Space-group type ... P-3m1 (164)

=====

Material: BaInOs2
Method: DFT, GGA-PBE
State: optimized geometry

Cell and atoms, written as POSCAR:
```
BaInOs2
1.0
4.545 0.000 0.000
0.000 4.545 0.000
0.000 0.000 4.098
Ba In Os
1 1 2
direct
0.000 0.000 0.000
0.500 0.500 0.000
0.000 0.500 0.500
0.500 0.000 0.500
```

Summary:
Total energy ... -5.48 eV per atom
Space-group type ... P4/mmm (123)
Formation energy from the elements ... 1.3033 eV per atom